# 1
The following is a DFT calculation (PBE) of HfB after structural relaxation.

The space group is Fm-3m (No. 225) and the conventional cell measures 4.833, 4.833 and 4.833 Å, with angles of 90.00, 90.00 and 90.00 degrees. The inequivalent atoms are Hf at (0.000, 0.000, 0.000) and B at (0.000, 0.000, 0.500).

For the total energy, the calculation gives -8.734 eV/atom.

=====

# 2
The following is a DFT calculation (PBE) of Hf4GeAsN2 after structural relaxation.

The space group is P-6m2 (No. 187) and the conventional cell measures 3.3213, 3.3213 and 12.8126 Å, with angles of 90.00, 90.00 and 120.00 degrees. The inequivalent atoms are Hf at (0.0000, 0.0000, 0.1484), Hf at (0.3333, 0.6667, 0.3379), Ge at (0.0000, 0.0000, 0.5000), As at (0.3333, 0.6667, 0.0000) and N at (0.6667, 0.3333, 0.2443).

For the total energy, the calculation gives -9.419 eV/atom.

=====

# 3
The following is a DFT calculation (PBE) of Dy2CoGe2 after structural relaxation.

The space group is C2/m (No. 12) and the conventional cell measures 10.463, 4.199 and 10.190 Å, with angles of 90.00, 118.00 and 90.00 degrees. The inequivalent atoms are Dy at (0.005, 0.000, 0.333), Dy at (0.186, 0.000, 0.112), Co at (0.224, 0.500, 0.356), Ge at (0.015, 0.500, 0.875) and Ge at (0.155, 0.500, 0.566).

For the total energy, the calculation gives -5.860 eV/atom.

=====

# 4
The following is a DFT calculation (PBE) of CsTmCd after structural relaxation.

The space group is F-43m (No. 216) and the conventional cell measures 7.874, 7.874 and 7.874 Å, with angles of 90.00, 90.00 and 90.00 degrees. The inequivalent atoms are Cs at (0.000, 0.000, 0.000), Tm at (0.250, 0.250, 0.750) and Cd at (0.000, 0.000, 0.500).

For the total energy, the calculation gives -1.357 eV/atom.

=====

# 5
The following is a DFT calculation (PBE) of NaTbCoS3 after structural relaxation.

The space group is Pnma (No. 62) and the conventional cell measures 10.843, 3.923 and 11.241 Å, with angles of 90.00, 90.00 and 90.00 degrees. The inequivalent atoms are Na at (0.170, 0.250, 0.005), Tb at (0.015, 0.250, 0.679), Co at (0.249, 0.750, 0.790), S at (0.051, 0.750, 0.848), S at (0.115, 0.250, 0.441) and S at (0.222, 0.750, 0.201).

As for the energy above the most stable polymorph in this dataset: 42.4 meV per atom.

=====

# 6
The following is a DFT calculation (PBE) of TbY2Cu4Sn2Ge2 after structural relaxation.

The space group is Immm (No. 71) and the conventional cell measures 4.360, 6.730 and 14.524 Å, with angles of 90.00, 90.00 and 90.00 degrees. The inequivalent atoms are Tb at (0.000, 0.000, 0.000), Y at (0.000, 0.500, 0.125), Cu at (0.000, 0.311, 0.341), Sn at (0.000, 0.000, 0.218) and Ge at (0.000, 0.191, 0.500).

As for the energy above the most stable polymorph in this dataset: 0.0 meV per atom.

=====

# 7
The following is a DFT calculation (PBE) of GdW after structural relaxation.

The space group is P6_3/mmc (No. 194) and the conventional cell measures 5.0696, 5.0696 and 4.8299 Å, with angles of 90.00, 90.00 and 120.00 degrees. The inequivalent atoms are Gd at (0.3333, 0.6667, 0.2500) and W at (0.0000, 0.0000, 0.0000).

As for the formation energy: 789 meV per atom. As for the energy above the most stable polymorph in this dataset: 0.0 meV per atom.

=====

# 8
The following is a DFT calculation (PBE) of Gd3Sn4Pb3 after structural relaxation.

The space group is Cmmm (No. 65) and the conventional cell measures 4.635, 25.749 and 4.644 Å, with angles of 90.00, 90.00 and 90.00 degrees. The inequivalent atoms are Gd at (0.000, 0.000, 0.000), Gd at (0.000, 0.185, 0.000), Sn at (0.000, 0.096, 0.500), Sn at (0.000, 0.404, 0.000), Pb at (0.000, 0.293, 0.500) and Pb at (0.000, 0.500, 0.500).

As for the energy above the most stable polymorph in this dataset: 7.5 meV per atom.

=====

# 9
The following is a DFT calculation (PBE) of YZnCuGe after structural relaxation.

The space group is F-43m (No. 216) and the conventional cell measures 6.627, 6.627 and 6.627 Å, with angles of 90.00, 90.00 and 90.00 degrees. The inequivalent atoms are Y at (0.000, 0.000, 0.000), Zn at (0.250, 0.250, 0.250), Cu at (0.250, 0.250, 0.750) and Ge at (0.000, 0.000, 0.500).

As for the energy above the most stable polymorph in this dataset: 20.2 meV per atom.

=====

# 10
The following is a DFT calculation (PBE) of ZrBeGeOs after structural relaxation.

The space group is F-43m (No. 216) and the conventional cell measures 6.171, 6.171 and 6.171 Å, with angles of 90.00, 90.00 and 90.00 degrees. The inequivalent atoms are Zr at (0.000, 0.000, 0.000), Be at (0.250, 0.250, 0.250), Ge at (0.250, 0.250, 0.750) and Os at (0.000, 0.000, 0.500).

As for the energy above the most stable polymorph in this dataset: 0.0 meV per atom.

=====

# 11
The following is a DFT calculation (PBE) of ZrTlAgSe3 after structural relaxation.

The space group is Cmcm (No. 63) and the conventional cell measures 3.941, 14.683 and 10.472 Å, with angles of 90.00, 90.00 and 90.00 degrees. The inequivalent atoms are Zr at (0.000, 0.000, 0.000), Tl at (0.000, 0.249, 0.250), Ag at (0.000, 0.449, 0.750), Se at (0.000, 0.069, 0.750) and Se at (0.000, 0.370, 0.530).

As for the energy above the most stable polymorph in this dataset: 33.2 meV per atom.

=====

# 12
The following is a DFT calculation (PBE) of LaNdBrN after structural relaxation.

The space group is P-3m1 (No. 164) and the conventional cell measures 3.7452, 3.7452 and 14.8215 Å, with angles of 90.00, 90.00 and 120.00 degrees. The inequivalent atoms are La at (0.3333, 0.6667, 0.4073), Nd at (0.3333, 0.6667, 0.0883), Br at (0.3333, 0.6667, 0.7571), N at (0.0000, 0.0000, 0.0000) and N at (0.0000, 0.0000, 0.5000).

As for the energy above the most stable polymorph in this dataset: 2.3 meV per atom.